[1]
Computed, not measured: an optimized crystal structure of VAg2Rh at the GGA-PBE level of DFT.

Cell lengths 5.843, 5.843, 5.843 Å; angles 101.35, 101.35, 127.34 degrees
Sites, in units of the cell vectors:
1 V 0.000 0.000 0.000
2 V 0.750 0.250 0.500
3 Ag 0.124 0.625 0.999
4 Ag 0.375 0.374 0.499
5 Ag 0.626 0.125 0.001
6 Ag 0.875 0.876 0.501
7 Rh 0.250 0.750 0.500
8 Rh 0.500 0.500 0.000

Summary:
The calculated density is 8636 kg/m3. The value obtained for the formation energy is 0.66 eV per atom. As for the space group: I-42d, No. 122. The relative energy among the computed polymorphs is 1.02 eV per formula unit.

[2]
Computed, not measured: an optimized crystal structure of Nd4MgSb2 at the GGA-PBE level of DFT.

Cell lengths 6.312, 6.831, 10.363 Å; angles 90.00, 103.97, 90.00 degrees
Sites, in units of the cell vectors:
1 Nd 0.016 0.017 0.256
2 Nd 0.016 0.483 0.256
3 Nd 0.345 0.750 0.517
4 Nd 0.423 0.750 0.139
5 Nd 0.577 0.250 0.861
6 Nd 0.655 0.250 0.483
7 Nd 0.984 0.517 0.744
8 Nd 0.984 0.983 0.744
9 Mg 0.467 0.750 0.819
10 Mg 0.533 0.250 0.181
11 Sb 0.132 0.250 0.003
12 Sb 0.204 0.250 0.551
13 Sb 0.796 0.750 0.449
14 Sb 0.868 0.750 0.997

Summary:
Its raw formation energy is -0.52 eV per atom. The calculated density is 6471 kg/m3. As for the space group: P2_1/m, No. 11.

[3]
Computed, not measured: an optimized crystal structure of Dy2ScTl3Te6 at the GGA-PBE level of DFT.

Cell lengths 7.598, 7.598, 8.558 Å; angles 98.52, 98.52, 119.97 degrees
Sites, in units of the cell vectors:
1 Dy 0.166 0.834 0.000
2 Dy 0.834 0.166 0.000
3 Sc 0.500 0.500 0.000
4 Tl 0.000 0.000 0.500
5 Tl 0.329 0.671 0.500
6 Tl 0.671 0.329 0.500
7 Te 0.109 0.431 0.792
8 Te 0.249 0.249 0.212
9 Te 0.431 0.109 0.792
10 Te 0.569 0.891 0.208
11 Te 0.751 0.751 0.788
12 Te 0.891 0.569 0.208

Summary:
Its raw formation energy is -1.01 eV per atom. The calculated density is 7103 kg/m3. As for the space group: C2/m, No. 12.